An optimized crystal structure of CaZr2Tl. Source: the Alexandria database, functional GGA-PBEsol.

Its space group is C2/m. Its density of states at the Fermi level is 1.2762 states/eV/atom. The density is 7.38 g/cm3.

Cell lengths 3.158, 5.468, 6.368 Å; angles 114.66, 103.11, 92.82 degrees
Positions (direct):
Tl (0.000, 0.500, 0.000)
Ca (0.500, 0.000, 0.000)
Zr (0.000, 0.000, 0.500)
Zr (0.500, 0.500, 0.500)

***

An optimized crystal structure of Sc2FeHg. Source: the Alexandria database, functional GGA-PBEsol.

Its space group is P4/mmm. Its density of states at the Fermi level is 0.6087 states/eV/atom. The density is 8.20 g/cm3.

Cell lengths 3.156, 3.156, 7.039 Å; angles 90.00, 90.00, 90.00 degrees
Positions (direct):
Sc (0.000, 0.000, 0.291)
Sc (0.000, 0.000, 0.709)
Hg (0.500, 0.500, 0.000)
Fe (0.500, 0.500, 0.500)

***

An optimized crystal structure of YBePCl2. Source: the Alexandria database, functional GGA-PBEsol.

Its space group is P4/mmm. Its density of states at the Fermi level is 0.0129 states/eV/atom. The uncorrected formation energy is -0.860 eV/atom. The density is 3.64 g/cm3.

Cell lengths 4.222, 4.222, 5.113 Å; angles 90.00, 90.00, 90.00 degrees
Positions (direct):
Y (0.500, 0.500, 0.500)
P (0.000, 0.000, 0.500)
Be (0.000, 0.000, 0.000)
Cl (0.000, 0.500, 0.000)
Cl (0.500, 0.000, 0.000)

***

An optimized crystal structure of PW. Source: the Alexandria database, functional GGA-PBEsol.

Its space group is Pnma. Its density of states at the Fermi level is 0.3794 states/eV/atom. The density is 12.51 g/cm3.

Cell lengths 3.225, 5.685, 6.223 Å; angles 90.00, 90.00, 90.00 degrees
Positions (direct):
P (0.750, 0.819, 0.935)
P (0.250, 0.681, 0.435)
P (0.250, 0.181, 0.065)
P (0.750, 0.319, 0.565)
W (0.750, 0.987, 0.312)
W (0.250, 0.513, 0.812)
W (0.250, 0.013, 0.688)
W (0.750, 0.487, 0.188)

***

An optimized crystal structure of Ti2GaCuPd. Source: the Alexandria database, functional GGA-PBEsol.

Its space group is P4/mmm. Its density of states at the Fermi level is 1.0512 states/eV/atom. The density is 6.13 g/cm3.

Cell lengths 4.227, 4.638, 4.638 Å; angles 90.00, 90.00, 90.00 degrees
Positions (direct):
Cu (0.500, 0.000, 0.000)
Ga (0.000, 0.000, 0.000)
Pd (0.500, 0.500, 0.500)
Ti (0.000, 0.000, 0.500)
Ti (0.000, 0.500, 0.000)

***

An optimized crystal structure of K3B6ClO10. Source: the Alexandria database, functional GGA-PBEsol.

Its space group is R3m. Its density of states at the Fermi level is 0.0000 states/eV/atom. The uncorrected formation energy is -2.407 eV/atom. The density is 2.40 g/cm3.

Cell lengths 6.532, 6.532, 6.532 Å; angles 101.07, 101.07, 101.07 degrees
Last column: magnetic moment on the atom in μB.
Positions (direct):
K (0.923, 0.385, 0.385)  0.00
K (0.385, 0.923, 0.385)  0.00
K (0.385, 0.385, 0.923)  0.00
B (0.074, 0.812, 0.812)  0.00
B (0.812, 0.074, 0.812)  0.00
B (0.812, 0.812, 0.074)  0.00
B (0.935, 0.483, 0.935)  0.00
B (0.935, 0.935, 0.483)  0.00
B (0.483, 0.935, 0.935)  0.00
Cl (0.434, 0.434, 0.434)  0.12
O (0.056, 0.586, 0.819)  0.00
O (0.819, 0.056, 0.586)  0.00
O (0.586, 0.819, 0.056)  0.00
O (0.056, 0.819, 0.586)  0.00
O (0.586, 0.056, 0.819)  0.00
O (0.819, 0.586, 0.056)  0.00
O (0.946, 0.276, 0.946)  0.00
O (0.946, 0.946, 0.276)  0.00
O (0.276, 0.946, 0.946)  0.00
O (0.890, 0.890, 0.890)  0.00

***

An optimized crystal structure of Cs3Sb2Br9. Source: the Alexandria database, functional GGA-PBEsol.

Its space group is P-3m1. Its density of states at the Fermi level is 0.0000 states/eV/atom. The uncorrected formation energy is -1.180 eV/atom. The density is 4.40 g/cm3.

Cell lengths 7.847, 7.847, 9.641 Å; angles 90.00, 90.00, 120.00 degrees
Positions (direct):
Cs (0.333, 0.667, 0.333)
Cs (0.667, 0.333, 0.667)
Cs (0.000, 0.000, 0.000)
Sb (0.333, 0.667, 0.812)
Sb (0.667, 0.333, 0.188)
Br (0.337, 0.169, 0.339)
Br (0.169, 0.337, 0.661)
Br (0.831, 0.169, 0.339)
Br (0.500, 0.500, 0.000)
Br (0.169, 0.831, 0.661)
Br (0.663, 0.831, 0.661)
Br (0.831, 0.663, 0.339)
Br (0.500, 0.000, 0.000)
Br (0.000, 0.500, 0.000)

***

An optimized crystal structure of InCuReGe2. Source: the Alexandria database, functional GGA-PBEsol.

Its space group is P4/mmm. Its density of states at the Fermi level is 0.7300 states/eV/atom. The density is 8.69 g/cm3.

Cell lengths 4.439, 4.439, 4.943 Å; angles 90.00, 90.00, 90.00 degrees
Last column: magnetic moment on the atom in μB.
Positions (direct):
Re (0.500, 0.500, 0.500)  2.22
Ge (0.000, 0.500, 0.000)  -0.02
Ge (0.500, 0.000, 0.000)  -0.02
Cu (0.000, 0.000, 0.000)  -0.01
In (0.000, 0.000, 0.500)  -0.02

***

An optimized crystal structure of LiLaBr2. Source: the Alexandria database, functional GGA-PBEsol.

Its space group is R-3m. Its density of states at the Fermi level is 0.2516 states/eV/atom. The uncorrected formation energy is -1.449 eV/atom. The density is 5.45 g/cm3.

Cell lengths 3.739, 3.739, 7.981 Å; angles 76.45, 76.45, 60.00 degrees
Positions (direct):
La (0.500, 0.500, 0.500)
Br (0.265, 0.265, 0.204)
Br (0.735, 0.735, 0.796)
Li (0.000, 0.000, 0.000)

***

An optimized crystal structure of LiFeNi2. Source: the Alexandria database, functional GGA-PBEsol.

Its space group is P4/mmm. Its density of states at the Fermi level is 0.9152 states/eV/atom. The density is 7.03 g/cm3.

Cell lengths 2.538, 4.095, 4.095 Å; angles 90.00, 90.00, 90.00 degrees
Last column: magnetic moment on the atom in μB.
Positions (direct):
Ni (0.000, 0.000, 0.500)  0.60
Ni (0.000, 0.500, 0.000)  0.60
Fe (0.500, 0.500, 0.500)  2.50
Li (0.500, 0.000, 0.000)  -0.02

***

An optimized crystal structure of BaSnP2. Source: the Alexandria database, functional GGA-PBEsol.

Its space group is I-42d. The density is 4.68 g/cm3.

Cell lengths 6.657, 6.657, 6.657 Å; angles 104.38, 112.08, 112.08 degrees
Positions (direct):
P (0.928, 0.553, 0.125)
P (0.072, 0.197, 0.625)
P (0.428, 0.875, 0.803)
P (0.572, 0.375, 0.447)
Ba (0.500, 0.750, 0.250)
Ba (0.000, 0.000, 0.000)
Sn (0.500, 0.250, 0.750)
Sn (0.000, 0.500, 0.500)

***

An optimized crystal structure of KTlAs2. Source: the Alexandria database, functional GGA-PBEsol.

Its space group is Pm. Its density of states at the Fermi level is 0.1023 states/eV/atom. The density is 5.62 g/cm3.

Cell lengths 3.732, 5.071, 6.354 Å; angles 104.90, 90.00, 90.00 degrees
Positions (direct):
As (0.000, 0.759, 0.982)
As (0.500, 0.980, 0.225)
K (0.000, 0.541, 0.436)
Tl (0.500, 0.220, 0.857)

***

no.,magnetization (μB per formula unit),energy (eV/atom)
1,0.0,-5.615
2,0.0,-6.038
3,0.0,-4.986
4,0.0,-10.243
5,0.0,-5.413
6,0.2,-7.407
7,0.0,-3.235
8,2.5,-4.853
9,0.0,-4.213
10,3.5,-5.755
11,0.0,-5.017
12,0.0,-3.695